No. 1
NiHgAu2 | PBE | optimized geometry

abc: 3.013 3.013 7.551
angles: 90.00 90.00 90.00
Space group P4mm (No. 99)
One atom of each set of equivalent atoms:
1 Ni 0.000 0.000 0.000
2 Hg 0.500 0.500 0.772
3 Au 0.000 0.000 0.482
4 Au 0.500 0.500 0.214

## Properties
total magnetization = 0.00 μB/f.u.
formation energy from the elements = 107 meV per atom

***

No. 2
NiHg2Au | PBE | optimized geometry

abc: 4.312 4.312 7.805
angles: 90.00 90.00 90.00
Space group I4/mmm (No. 139)
One atom of each set of equivalent atoms:
1 Ni 0.000 0.000 0.000
2 Hg 0.000 0.500 0.250
3 Au 0.000 0.000 0.500

## Properties
total magnetization = 0.00 μB/f.u.
formation energy from the elements = 228 meV per atom
ΔE to the lowest computed polymorph = 0.1173 eV per atom

***

No. 3
NiHgAu2 | PBE | optimized geometry

abc: 4.125 4.125 8.068
angles: 90.00 90.00 90.00
Space group I-4m2 (No. 119)
One atom of each set of equivalent atoms:
1 Ni 0.000 0.000 0.000
2 Hg 0.000 0.500 0.250
3 Au 0.000 0.000 0.500
4 Au 0.000 0.500 0.750

## Properties
total magnetization = 0.00 μB/f.u.
formation energy from the elements = 131 meV per atom

***

No. 4
NiHg2Au | PBE | optimized geometry

abc: 8.989 3.153 5.404
angles: 90.00 103.41 90.00
Space group C2/m (No. 12)
One atom of each set of equivalent atoms:
1 Ni 0.000 0.000 0.000
2 Hg 0.238 0.500 0.231
3 Au 0.000 0.500 0.500

## Properties
total magnetization = 0.00 μB/f.u.
formation energy from the elements = 223 meV per atom
ΔE to the lowest computed polymorph = 0.1124 eV per atom